Below is a geometry-optimized NpAlNiO6 structure, with properties calculated at the PBE+U level.

E = -7.660 eV per atom
Total magnetization = 2.0 μB per formula unit

Cell: 5.1526 5.1526 8.8747 Å, 90.00 90.00 120.00°
Last column: nearest neighbours and their distance in Å.
Sites, in units of the cell vectors:
Ni 0.0000 0.0000 0.0000  6 O 2.14
O 0.6464 0.6622 0.6339  1 Al 1.92, 1 Np 2.03, 1 Ni 2.14
O 0.3536 0.3378 0.3661  1 Al 1.92, 1 Np 2.03, 1 Ni 2.14
O 0.0158 0.3537 0.6339  1 Al 1.92, 1 Np 2.03, 1 Ni 2.14
O 0.9842 0.6463 0.3661  1 Al 1.92, 1 Np 2.03, 1 Ni 2.14
Al 0.6667 0.3333 0.2500  6 O 1.92
Al 0.3333 0.6667 0.7500  6 O 1.92
Ni 0.0000 0.0000 0.5000  6 O 2.14
O 0.6622 0.0158 0.3661  1 Al 1.92, 1 Np 2.03, 1 Ni 2.14
O 0.6464 0.9842 0.8661  1 Al 1.92, 1 Np 2.03, 1 Ni 2.14
O 0.3536 0.0158 0.1339  1 Al 1.92, 1 Np 2.03, 1 Ni 2.14
Np 0.3333 0.6667 0.2500  6 O 2.03
O 0.3378 0.9842 0.6339  1 Al 1.92, 1 Np 2.03, 1 Ni 2.14
O 0.6622 0.6463 0.1339  1 Al 1.92, 1 Np 2.03, 1 Ni 2.14
O 0.3378 0.3537 0.8661  1 Al 1.92, 1 Np 2.03, 1 Ni 2.14
Np 0.6667 0.3333 0.7500  6 O 2.03
O 0.9842 0.3378 0.1339  1 Al 1.92, 1 Np 2.03, 1 Ni 2.14
O 0.0158 0.6622 0.8661  1 Al 1.92, 1 Np 2.03, 1 Ni 2.14